No. 1
# Zr2UTl2Te6 | the Alexandria database | PBE-GGA | relaxed
data_Zr2UTl2Te6
_chemical_formula_sum 'Zr4 U2 Tl4 Te12'
_cell_length_a 7.187
_cell_length_b 12.467
_cell_length_c 8.789
_cell_angle_alpha 90.00
_cell_angle_beta 105.29
_cell_angle_gamma 90.00
_symmetry_space_group_name_H-M 'C 1 2/m 1'
_symmetry_Int_Tables_number 12
_symmetry_space_group_name_Hall '-C 2y'
loop_
_atom_site_label
_atom_site_fract_x
_atom_site_fract_y
_atom_site_fract_z
Zr1 0.000 0.168 0.000
U1 0.000 0.500 0.000
Tl1 0.000 0.340 0.500
Te1 0.220 0.000 0.211
Te2 0.242 0.328 0.212
# Energy relative to the elements, uncorrected ... -676 meV per atom

No. 2
Material: Nd4Y2HoTm2
Method: DFT, PBE-GGA
State: relaxed

Cell and atoms, written as CIF:
```
data_Nd4Y2HoTm2
_chemical_formula_sum 'Nd8 Y4 Ho2 Tm4'
_cell_length_a 15.278
_cell_length_b 5.086
_cell_length_c 8.037
_cell_angle_alpha 90.00
_cell_angle_beta 108.40
_cell_angle_gamma 90.00
_symmetry_space_group_name_H-M 'C 1 2/m 1'
_symmetry_Int_Tables_number 12
_symmetry_space_group_name_Hall '-C 2y'
loop_
_atom_site_label
_atom_site_fract_x
_atom_site_fract_y
_atom_site_fract_z
Nd1 0.054 0.000 0.329
Nd2 0.222 0.500 0.330
Y1 0.112 0.500 0.670
Ho1 0.000 0.500 0.000
Tm1 0.167 0.000 0.000
```

No. 3
Material: InNiAs2
Method: DFT, PBE-GGA
State: relaxed

Cell and atoms, written as CIF:
```
data_InNiAs2
_chemical_formula_sum 'In4 Ni4 As8'
_cell_length_a 6.645
_cell_length_b 6.645
_cell_length_c 6.645
_cell_angle_alpha 90.00
_cell_angle_beta 90.00
_cell_angle_gamma 90.00
_symmetry_space_group_name_H-M 'F -4 3 m'
_symmetry_Int_Tables_number 216
_symmetry_space_group_name_Hall 'F -4 2 3'
loop_
_atom_site_label
_atom_site_fract_x
_atom_site_fract_y
_atom_site_fract_z
In1 0.000 0.000 0.000
Ni1 0.250 0.250 0.250
As1 0.000 0.000 0.500
As2 0.250 0.250 0.750
```

No. 4
# Si2PCl | the Alexandria database | PBE-GGA | relaxed
data_Si2PCl
_chemical_formula_sum 'Si4 P2 Cl2'
_cell_length_a 10.007
_cell_length_b 3.346
_cell_length_c 5.757
_cell_angle_alpha 90.00
_cell_angle_beta 95.82
_cell_angle_gamma 90.00
_symmetry_space_group_name_H-M 'C 1 m 1'
_symmetry_Int_Tables_number 8
_symmetry_space_group_name_Hall 'C -2y'
loop_
_atom_site_label
_atom_site_fract_x
_atom_site_fract_y
_atom_site_fract_z
Si1 0.000 0.000 0.000
Si2 0.179 0.500 0.918
P1 0.332 0.000 0.886
Cl1 0.030 0.000 0.370
# Distance to the lowest polymorph of the same formula ... 40 meV per atom
# Energy relative to the elements, uncorrected ... 61 meV per atom

No. 5
Material: Ce5Tc
Method: DFT, PBE-GGA
State: relaxed

Cell and atoms, written as CIF:
```
data_Ce5Tc
_chemical_formula_sum 'Ce10 Tc2'
_cell_length_a 4.184
_cell_length_b 15.848
_cell_length_c 4.173
_cell_angle_alpha 90.00
_cell_angle_beta 90.00
_cell_angle_gamma 90.00
_symmetry_space_group_name_H-M 'C m m m'
_symmetry_Int_Tables_number 65
_symmetry_space_group_name_Hall '-C 2 2'
loop_
_atom_site_label
_atom_site_fract_x
_atom_site_fract_y
_atom_site_fract_z
Ce1 0.000 0.000 0.000
Ce2 0.000 0.171 0.500
Ce3 0.000 0.340 0.000
Tc1 0.000 0.500 0.500
```

No. 6
# Pm6ZnGa2 | the Alexandria database | PBE-GGA | relaxed
data_Pm6ZnGa2
_chemical_formula_sum 'Pm24 Zn4 Ga8'
_cell_length_a 9.921
_cell_length_b 9.958
_cell_length_c 10.515
_cell_angle_alpha 90.00
_cell_angle_beta 90.00
_cell_angle_gamma 90.00
_symmetry_space_group_name_H-M 'I m m m'
_symmetry_Int_Tables_number 71
_symmetry_space_group_name_Hall '-I 2 2'
loop_
_atom_site_label
_atom_site_fract_x
_atom_site_fract_y
_atom_site_fract_z
Pm1 0.000 0.209 0.174
Pm2 0.175 0.233 0.500
Pm3 0.196 0.500 0.250
Zn1 0.000 0.500 0.000
Zn2 0.000 0.500 0.500
Ga1 0.000 0.000 0.378
Ga2 0.146 0.000 0.000
# Distance to the lowest polymorph of the same formula ... 0 meV per atom

no.,E (eV per atom),total moment (μB per formula unit),V (Å³/cell)
1,-5.40,3.73,759.63
2,-5.03,0.00,592.62
3,-4.08,0.00,293.40
4,-4.47,0.00,191.76
5,-6.59,0.00,276.72
6,-4.29,0.00,1038.88